# Tb2SmHoTm5 | the Alexandria database | PBE | optimized geometry
# E in Ry/atom: -0.313
# Crystal system: tetragonal
# Formation energy in eV per atom: 0.289
data_Tb2SmHoTm5
_chemical_formula_sum 'Tb4 Sm2 Ho2 Tm10'
_symmetry_space_group_name_H-M 'P 1'
_symmetry_Int_Tables_number 1
_cell_length_a 8.7735
_cell_length_b 8.7735
_cell_length_c 9.6344
_cell_angle_alpha 117.09
_cell_angle_beta 117.09
_cell_angle_gamma 90.00
loop_
_symmetry_equiv_pos_as_xyz
'x,y,z'
loop_
_atom_site_label
_atom_site_fract_x
_atom_site_fract_y
_atom_site_fract_z
Tm1 0.8407 0.9274 0.2681
Tm2 0.5726 0.6593 0.7319
Tm3 0.9274 0.4274 0.2681
Tm4 0.1593 0.0726 0.7319
Tm5 0.4274 0.3407 0.2681
Tm6 0.6593 0.1593 0.7319
Tm7 0.5000 0.5000 0.0000
Tm8 0.0726 0.5726 0.7319
Tm9 0.0000 0.0000 0.0000
Tm10 0.3407 0.8407 0.2681
Ho1 0.2500 0.7500 0.5000
Ho2 0.7500 0.2500 0.5000
Tb1 0.3860 0.8860 0.0000
Tb2 0.6140 0.1140 0.0000
Tb3 0.1140 0.3860 0.0000
Tb4 0.8860 0.6140 0.0000
Sm1 0.7500 0.7500 0.5000
Sm2 0.2500 0.2500 0.5000


# InGaAg2O4 | the Alexandria database | PBE | optimized geometry
# E in Ry/atom: -0.362
# Formation energy from raw total energies in kcal/mol of atoms: -23.20
# Crystal system: tetragonal
data_InGaAg2O4
_chemical_formula_sum 'In1 Ga1 Ag2 O4'
_symmetry_space_group_name_H-M 'P 1'
_symmetry_Int_Tables_number 1
_cell_length_a 5.2253
_cell_length_b 5.2292
_cell_length_c 5.8593
_cell_angle_alpha 116.50
_cell_angle_beta 116.49
_cell_angle_gamma 89.99
loop_
_symmetry_equiv_pos_as_xyz
'x,y,z'
loop_
_atom_site_label
_atom_site_fract_x
_atom_site_fract_y
_atom_site_fract_z
Ag1 0.4863 0.9862 0.9724
Ag2 0.2357 0.2357 0.4715
O1 0.8518 0.4369 0.2390
O2 0.0351 0.0845 0.7045
O3 0.3871 0.8021 0.2390
O4 0.6694 0.6199 0.7044
In1 0.9857 0.4857 0.9715
Ga1 0.7359 0.7360 0.4718


# KGaHg14 | the Alexandria database | PBE | optimized geometry
# E in Ry/atom: -0.041
# Crystal system: orthorhombic
# Formation energy in eV per atom: -0.032
data_KGaHg14
_chemical_formula_sum 'K1 Ga1 Hg14'
_symmetry_space_group_name_H-M 'P 1'
_symmetry_Int_Tables_number 1
_cell_length_a 6.3535
_cell_length_b 8.2315
_cell_length_c 9.7040
_cell_angle_alpha 90.00
_cell_angle_beta 90.00
_cell_angle_gamma 112.70
loop_
_symmetry_equiv_pos_as_xyz
'x,y,z'
loop_
_atom_site_label
_atom_site_fract_x
_atom_site_fract_y
_atom_site_fract_z
Hg1 0.8305 0.1586 0.7665
Hg2 0.3282 0.1586 0.2335
Hg3 0.1926 0.3853 0.0000
Hg4 0.6965 0.8789 0.0000
Hg5 0.7714 0.5427 0.3222
Hg6 0.3458 0.6915 0.2355
Hg7 0.3458 0.6915 0.7645
Hg8 0.3282 0.1586 0.7665
Hg9 0.1824 0.8789 0.0000
Hg10 0.8305 0.1586 0.2335
Hg11 0.7490 0.4981 0.0000
Hg12 0.7714 0.5427 0.6778
Hg13 0.6871 0.8504 0.5000
Hg14 0.1633 0.8504 0.5000
Ga1 0.5796 0.1593 0.5000
K1 0.1979 0.3958 0.5000


# Cd4Ag3Au3 | the Alexandria database | PBE | optimized geometry
# E in Ry/atom: -0.165
# Crystal system: cubic
# Formation energy in eV per atom: -0.041
data_Cd4Ag3Au3
_chemical_formula_sum 'Cd8 Ag6 Au6'
_symmetry_space_group_name_H-M 'P 1'
_symmetry_Int_Tables_number 1
_cell_length_a 8.1132
_cell_length_b 8.1132
_cell_length_c 8.1132
_cell_angle_alpha 109.47
_cell_angle_beta 109.47
_cell_angle_gamma 109.47
loop_
_symmetry_equiv_pos_as_xyz
'x,y,z'
loop_
_atom_site_label
_atom_site_fract_x
_atom_site_fract_y
_atom_site_fract_z
Au1 0.8750 0.2500 0.6250
Au2 0.3750 0.1250 0.7500
Au3 0.7500 0.6250 0.3750
Au4 0.1250 0.3750 0.2500
Au5 0.6250 0.7500 0.8750
Au6 0.2500 0.8750 0.1250
Cd1 0.0000 0.0000 0.2393
Cd2 0.7393 0.5000 0.0000
Cd3 0.5000 0.2393 0.5000
Cd4 0.2393 0.5000 0.0000
Cd5 0.7607 0.2607 0.2607
Cd6 0.2607 0.7607 0.7607
Cd7 0.5000 0.7393 0.5000
Cd8 0.0000 0.0000 0.7393
Ag1 0.3750 0.2500 0.1250
Ag2 0.1250 0.7500 0.3750
Ag3 0.6250 0.8750 0.2500
Ag4 0.7500 0.1250 0.8750
Ag5 0.8750 0.6250 0.7500
Ag6 0.2500 0.3750 0.6250


# MgBr2Cl | the Alexandria database | PBE | optimized geometry
# E in Ry/atom: -0.190
# Formation energy from raw total energies in kcal/mol of atoms: -20.57
# Crystal system: tetragonal
data_MgBr2Cl
_chemical_formula_sum 'Mg2 Br4 Cl2'
_symmetry_space_group_name_H-M 'P 1'
_symmetry_Int_Tables_number 1
_cell_length_a 9.5713
_cell_length_b 9.5713
_cell_length_c 7.2141
_cell_angle_alpha 48.44
_cell_angle_beta 48.44
_cell_angle_gamma 90.00
loop_
_symmetry_equiv_pos_as_xyz
'x,y,z'
loop_
_atom_site_label
_atom_site_fract_x
_atom_site_fract_y
_atom_site_fract_z
Cl1 0.7500 0.2500 0.5000
Cl2 0.0000 0.0000 0.0000
Mg1 0.2500 0.7500 0.5000
Mg2 0.5000 0.5000 0.0000
Br1 0.3750 0.5030 0.7500
Br2 0.2530 0.6250 0.2500
Br3 0.8750 0.7470 0.7500
Br4 0.4970 0.1250 0.2500


# Tb2Al2HgPd5 | the Alexandria database | PBE | optimized geometry
# E in Ry/atom: -0.368
# Crystal system: tetragonal
# Formation energy in eV per atom: -0.700
data_Tb2Al2HgPd5
_chemical_formula_sum 'Tb4 Al4 Hg2 Pd10'
_symmetry_space_group_name_H-M 'P 1'
_symmetry_Int_Tables_number 1
_cell_length_a 3.7245
_cell_length_b 10.0057
_cell_length_c 10.0057
_cell_angle_alpha 90.00
_cell_angle_beta 90.00
_cell_angle_gamma 90.00
loop_
_symmetry_equiv_pos_as_xyz
'x,y,z'
loop_
_atom_site_label
_atom_site_fract_x
_atom_site_fract_y
_atom_site_fract_z
Pd1 0.5000 0.0000 0.5000
Pd2 0.5000 0.9344 0.2155
Pd3 0.5000 0.0656 0.7845
Pd4 0.5000 0.7155 0.4344
Pd5 0.5000 0.2155 0.0656
Pd6 0.5000 0.5656 0.7155
Pd7 0.5000 0.2845 0.5656
Pd8 0.5000 0.4344 0.2845
Pd9 0.5000 0.5000 0.0000
Pd10 0.5000 0.7845 0.9344
Tb1 0.0000 0.1802 0.3198
Tb2 0.0000 0.8198 0.6802
Tb3 0.0000 0.6802 0.1802
Tb4 0.0000 0.3198 0.8198
Al1 0.0000 0.6169 0.8831
Al2 0.0000 0.1169 0.6169
Al3 0.0000 0.3831 0.1169
Al4 0.0000 0.8831 0.3831
Hg1 0.0000 0.0000 0.0000
Hg2 0.0000 0.5000 0.5000